Computed, not measured: a geometry-optimized TlSi2Ag structure at the GGA-PBEsol level of DFT.

Results
Symmetry: Pmmm, No. 47
Energy relative to the elements, uncorrected in meV per atom: 386.8

Geometry as extended XYZ:
```
4
Lattice="2.9131 0.0000 0.0000 0.0000 3.9648 0.0000 0.0000 0.0000 6.8878" Properties=species:S:1:pos:R:3 pbc="T T T"
Si 0.0000 0.0000 4.6989
Si 0.0000 0.0000 2.1889
Ag 1.4566 1.9824 3.4439
Tl 1.4566 1.9824 0.0000
```

Computed, not measured: a geometry-optimized CaLaPt2 structure at the GGA-PBEsol level of DFT.

Results
Energy relative to the elements in eV/atom: -0.811
Symmetry: P4/mmm, No. 123

Geometry as extended XYZ:
```
4
Lattice="4.1291 0.0000 0.0000 0.0000 4.1291 0.0000 0.0000 0.0000 5.7940" Properties=species:S:1:pos:R:3 pbc="T T T"
Ca 0.0000 0.0000 0.0000
Pt 2.0646 2.0646 0.0000
Pt 0.0000 0.0000 2.8970
La 2.0646 2.0646 2.8970
```

Computed, not measured: a geometry-optimized BaZr4Sb structure at the GGA-PBEsol level of DFT.

Results
Symmetry: F-43m, No. 216
Energy relative to the elements, uncorrected in meV per atom: 340.8

Geometry as extended XYZ:
```
6
Lattice="5.9631 0.0000 0.0000 2.9816 5.1642 0.0000 2.9816 1.7214 4.8689" Properties=species:S:1:pos:R:3 pbc="T T T"
Ba 8.9447 5.1642 3.6516
Zr 5.9631 3.4428 4.2348
Zr 5.9631 5.1402 1.8343
Zr 4.4931 2.5941 1.8343
Zr 7.4331 2.5941 1.8343
Sb 0.0000 0.0000 0.0000
```

Computed, not measured: a geometry-optimized YReNi2 structure at the GGA-PBEsol level of DFT.

Results
Energy relative to the elements in eV/atom: 0.124
Symmetry: P4mm, No. 99
Energy relative to the lowest polymorph listed for this composition in eV per atom: 0.000

Geometry as extended XYZ:
```
4
Lattice="3.0125 0.0000 0.0000 0.0000 3.0122 0.0000 0.0000 0.0000 6.5949" Properties=species:S:1:pos:R:3 pbc="T T T"
Ni 0.0000 0.0000 0.3664
Ni 1.5062 1.5061 1.5650
Y 1.5062 1.5061 5.0769
Re 0.0000 0.0000 2.8840
```

Computed, not measured: a geometry-optimized ZnSiSb2 structure at the GGA-PBEsol level of DFT.

Results
Symmetry: P4/mmm, No. 123
Energy relative to the elements, uncorrected in meV per atom: 338.0

Geometry as extended XYZ:
```
4
Lattice="-2.4704 2.2962 0.8047 0.0792 -1.5354 4.6243 3.4186 3.3139 1.0387" Properties=species:S:1:pos:R:3 pbc="T T T"
Zn 0.5137 2.0374 3.2338
Si -1.2352 1.1481 0.4023
Sb 0.0396 -0.7677 2.3121
Sb 1.7093 1.6569 0.5194
```

Computed, not measured: a geometry-optimized Ti2VHO6 structure at the GGA-PBEsol level of DFT.

Results
Symmetry: P2_1/c, No. 14
Final energy in eV per cell: -346.17

Geometry as extended XYZ:
```
40
Lattice="4.5273 0.0000 0.0000 0.0000 8.4489 0.0097 0.0000 -0.4833 9.9437" Properties=species:S:1:pos:R:3 pbc="T T T"
O 0.9319 6.2150 2.1319
O 3.2361 0.4931 5.3876
O 3.5953 1.7506 7.8215
O 0.9807 4.6852 4.5217
O 3.5731 6.0890 5.5131
O 1.0299 3.4061 1.9751
O 0.9725 7.2309 9.5376
O 3.5548 0.7347 0.4158
O 3.1956 1.9922 2.8496
O 1.2603 0.5246 2.0405
O 3.2177 6.3307 0.5412
O 1.3317 5.9734 7.1038
O 3.4973 4.5595 7.9782
O 3.5240 7.6827 2.9410
O 3.2444 3.5220 0.4598
O 3.2936 4.8012 3.0064
O 1.2337 3.1644 6.9470
O 1.2829 4.4436 9.4936
O 1.3095 1.6349 9.4121
O 1.0033 0.2829 7.0124
O 1.2911 7.4725 4.5658
O 3.2669 7.4410 7.9128
O 3.5465 3.2804 5.4316
O 0.9541 1.8766 4.4403
H 0.3193 4.4959 9.2273
H 1.9444 4.7376 4.2555
H 2.5829 3.2281 5.6979
H 4.2080 3.4697 0.7260
V 2.3668 3.0399 8.4639
V 4.4241 3.2815 3.4920
V 0.1031 4.6841 6.4613
V 2.1605 4.9257 1.4895
Ti 4.4257 6.3307 3.8146
Ti 0.1016 1.6349 6.1388
Ti 2.3652 6.0890 8.7864
Ti 0.0330 0.3486 8.7216
Ti 2.1621 1.8766 1.1670
Ti 2.2307 0.5903 3.7497
Ti 2.2966 7.3754 6.2036
Ti 4.4943 7.6170 1.2318
```

Computed, not measured: a geometry-optimized Ta2Fe structure at the GGA-PBEsol level of DFT.

Results
Energy relative to the elements in eV/atom: -0.057
Symmetry: Cmcm, No. 63

Geometry as extended XYZ:
```
6
Lattice="-2.6835 1.2442 0.9672 0.6999 -1.6535 4.0689 4.5037 4.8818 1.2091" Properties=species:S:1:pos:R:3 pbc="T T T"
Ta 2.8575 4.2560 2.4533
Ta -0.3374 0.2165 3.7919
Ta 0.3701 2.8839 2.3236
Ta 2.1500 1.5886 3.9217
Fe 0.6975 0.4961 1.2969
Fe 1.8227 3.9764 4.9483
```

Computed, not measured: a geometry-optimized NaHfB3 structure at the GGA-PBEsol level of DFT.

Results
Energy relative to the elements in eV/atom: 2.049
Symmetry: Pm-3m, No. 221

Geometry as extended XYZ:
```
5
Lattice="3.9862 0.0000 0.0000 0.0000 3.9862 0.0000 0.0000 0.0000 3.9862" Properties=species:S:1:pos:R:3 pbc="T T T"
B 1.9931 0.0000 0.0000
B 0.0000 1.9931 0.0000
B 0.0000 0.0000 1.9931
Hf 1.9931 1.9931 1.9931
Na 0.0000 0.0000 0.0000
```

Computed, not measured: a geometry-optimized Al2CdCu structure at the GGA-PBEsol level of DFT.

Results
Energy relative to the elements in eV/atom: 0.087
Symmetry: I-4m2, No. 119

Geometry as extended XYZ:
```
4
Lattice="-0.1305 0.1235 -3.9959 -3.7511 -1.3864 0.0796 0.5554 4.3889 2.1195" Properties=species:S:1:pos:R:3 pbc="T T T"
Al -0.7579 1.9405 -1.9173
Al 0.0000 0.0000 0.0000
Cd -1.9408 -0.6315 -1.9581
Cu -2.5682 1.1855 0.1205
```

Computed, not measured: a geometry-optimized NiBPOs2 structure at the GGA-PBEsol level of DFT.

Results
Energy relative to the elements in eV/atom: 0.839
Symmetry: P4/mmm, No. 123

Geometry as extended XYZ:
```
5
Lattice="3.7750 0.0000 0.0000 0.0000 4.0577 0.0000 0.0000 0.0000 4.0577" Properties=species:S:1:pos:R:3 pbc="T T T"
P 1.8875 0.0000 0.0000
Os 0.0000 0.0000 2.0289
Os 0.0000 2.0289 0.0000
B 0.0000 0.0000 0.0000
Ni 1.8875 2.0289 2.0289
```

Computed, not measured: a geometry-optimized TlZn2Os structure at the GGA-PBEsol level of DFT.

Results
Energy relative to the elements in eV/atom: 0.464
Symmetry: P4mm, No. 99
Energy relative to the lowest polymorph listed for this composition in eV per atom: 0.010

Geometry as extended XYZ:
```
4
Lattice="-1.4829 -2.4125 1.8342 1.3640 -2.3548 -1.9945 4.5346 -0.2264 3.3684" Properties=species:S:1:pos:R:3 pbc="T T T"
Tl 3.3379 -2.5533 2.4435
Zn 1.1140 -2.4422 0.7915
Zn 0.1011 -0.0050 0.0751
Os 2.1299 -0.1063 1.5821
```

Computed, not measured: a geometry-optimized Lu4Ni13C4 structure at the GGA-PBEsol level of DFT.

Results
Energy relative to the elements in eV/atom: -0.402
Symmetry: Cmmm, No. 65

Geometry as extended XYZ:
```
21
Lattice="3.7542 0.0000 0.0000 0.0000 8.2077 -0.0022 0.0000 -0.1922 8.2054" Properties=species:S:1:pos:R:3 pbc="T T T"
Ni 0.0000 3.0149 3.0855
Ni 1.8771 1.6361 3.4826
Ni 1.8771 2.1599 7.6177
Ni 1.8771 7.5657 2.3357
Ni 0.0000 -0.0961 4.1027
Ni 1.8771 4.5717 6.4869
Ni 1.8771 0.4498 5.8675
Ni 1.8771 3.4438 1.7163
Ni 0.0000 4.1038 -0.0011
Ni 1.8771 5.8556 0.5855
Ni 1.8771 6.3794 4.7206
Ni 1.8771 4.0077 4.1016
Ni 0.0000 5.0005 5.1177
C 1.8771 4.1038 -0.0011
C 1.8771 0.2939 7.7305
C 1.8771 7.7216 0.4727
C 1.8771 -0.0961 4.1027
Lu 0.0000 6.8026 6.9620
Lu 0.0000 2.4423 5.6312
Lu 0.0000 1.2128 1.2412
Lu 0.0000 5.5731 2.5720
```